[1]
Computed, not measured: Dy8Y2Tm after structural relaxation at the GGA-PBE level of DFT.

Raw total energy = -4.76 eV per atom

Cell lengths 5.575, 10.056, 10.056 Å; angles 40.20, 92.86, 92.86 degrees
Positions (direct):
Dy: 0.268 0.135 0.604
Dy: 0.268 0.604 0.135
Dy: 0.732 0.865 0.396
Dy: 0.234 0.546 0.546
Dy: 0.732 0.396 0.865
Dy: 0.231 0.186 0.186
Dy: 0.769 0.814 0.814
Dy: 0.766 0.454 0.454
Y: 0.747 0.284 0.284
Y: 0.253 0.716 0.716
Tm: 0.000 0.000 0.000

***

[2]
Computed, not measured: Na7Pb after structural relaxation at the GGA-PBE level of DFT.

Energy relative to the lowest polymorph listed for this composition = 22 meV/atom
Raw total energy = -1.65 eV per atom

Cell lengths 7.203, 7.203, 7.203 Å; angles 60.00, 60.00, 60.00 degrees
Positions (direct):
Na: 0.500 0.500 0.000
Na: 0.500 0.000 0.500
Na: 0.000 0.500 0.500
Na: 0.500 0.000 0.000
Na: 0.000 0.500 0.000
Na: 0.000 0.000 0.500
Na: 0.500 0.500 0.500
Pb: 0.000 0.000 0.000

***

[3]
Computed, not measured: CdBiAu2 after structural relaxation at the GGA-PBE level of DFT.

Raw total energy = -2.86 eV per atom

Cell lengths 3.981, 4.721, 4.721 Å; angles 90.00, 90.00, 90.00 degrees
Positions (direct):
Au: 0.000 0.000 0.500
Au: 0.000 0.500 0.000
Bi: 0.500 0.500 0.500
Cd: 0.500 0.000 0.000

***

[4]
Computed, not measured: WC2 after structural relaxation at the GGA-PBE level of DFT.

Energy relative to the lowest polymorph listed for this composition = 954 meV/atom
Raw total energy = -9.00 eV per atom

Cell lengths 3.262, 3.262, 2.923 Å; angles 90.00, 90.00, 90.00 degrees
Positions (direct):
C: 0.000 0.500 0.500
C: 0.500 0.000 0.500
W: 0.000 0.000 0.000

***

[5]
Computed, not measured: Pr4In12Rh after structural relaxation at the GGA-PBE level of DFT.

Raw total energy = -3.98 eV per atom

Cell lengths 8.262, 8.262, 8.262 Å; angles 109.47, 109.47, 109.47 degrees
Positions (direct):
Pr: 0.000 0.000 0.500
Pr: 0.500 0.000 0.000
Pr: 0.500 0.500 0.500
Pr: 0.000 0.500 0.000
In: 0.000 0.281 0.281
In: 0.000 0.719 0.719
In: 0.719 0.719 0.000
In: 0.281 0.281 0.000
In: 0.281 0.000 0.281
In: 0.719 0.000 0.719
In: 0.500 0.250 0.750
In: 0.500 0.750 0.250
In: 0.750 0.250 0.500
In: 0.250 0.750 0.500
In: 0.750 0.500 0.250
In: 0.250 0.500 0.750
Rh: 0.000 0.000 0.000

***

[6]
Computed, not measured: NiSe4 after structural relaxation at the GGA-PBE level of DFT.

Energy relative to the lowest polymorph listed for this composition = 0 meV/atom
Raw total energy = -4.03 eV per atom
Uncorrected formation energy = -0.089 eV/atom

Cell lengths 4.903, 6.844, 6.840 Å; angles 91.62, 90.00, 90.00 degrees
Positions (direct):
Ni: 0.000 0.000 0.000
Ni: 0.500 0.000 0.500
Se: 0.311 0.177 0.228
Se: 0.811 0.823 0.272
Se: 0.689 0.823 0.772
Se: 0.189 0.177 0.728
Se: 0.817 0.267 0.531
Se: 0.317 0.733 0.969
Se: 0.183 0.733 0.469
Se: 0.683 0.267 0.031